This record from the Alexandria database describes crystalline Mg3Bi2As2O12 at its relaxed geometry. The functional is PBE-GGA.

a = 5.4656 Å, b = 7.5525 Å, c = 7.5467 Å
α = 64.06°, β = 90.00°, γ = 90.00°
Closest atoms and distances in Å follow each position.
Fractional coordinates of all 19 atoms:
Mg 0.5000 0.3104 0.9002  5 O 1.98-2.06
Mg 0.0000 0.7167 0.0763  5 O 2.03-2.16
Mg 0.5000 0.9106 0.2773  5 O 2.04-2.07
As 0.0000 0.1717 0.2150  4 O 1.71-1.73
As 0.5000 0.7746 0.8152  4 O 1.71-1.72
Bi 0.0000 0.6500 0.5400  5 O 2.21-2.35
Bi 0.5000 0.4394 0.3891  4 O 2.23-2.29
O 0.2446 0.8764 0.8645  1 As 1.71
O 0.0000 0.9883 0.4549  1 As 1.73
O 0.2498 0.6985 0.2919  2 Mg 2.07-2.08, 2 Bi 2.21-2.23
O 0.0000 0.3990 0.2137  1 As 1.71
O 0.7385 0.1322 0.1105  1 As 1.72
O 0.2718 0.3953 0.6590  1 Mg 2.06, 2 Bi 2.28-2.29
O 0.7502 0.6985 0.2919  2 Mg 2.07-2.08, 2 Bi 2.21-2.23
O 0.5000 0.5285 0.9784  1 As 1.72
O 0.7282 0.3953 0.6590  1 Mg 2.06, 2 Bi 2.28-2.29
O 0.7554 0.8764 0.8645  1 As 1.71
O 0.2615 0.1322 0.1105  1 As 1.72
O 0.5000 0.8023 0.5765  1 As 1.72

Summary:
Space-group type: Pm
E, eV/atom: -5.83
Calculated volume, Å³ per cell: 280
Formation energy from raw total energies, eV per atom: -1.5440

***

This record from the Alexandria database describes crystalline Mg2BiAsOs at its relaxed geometry. The functional is PBE-GGA.

a = 5.0057 Å, b = 4.6291 Å, c = 5.0057 Å
α = 90.00°, β = 90.00°, γ = 90.00°
Closest atoms and distances in Å follow each position.
Fractional coordinates of all 5 atoms:
Mg 0.0000 0.0000 0.5000  2 As 2.50
Mg 0.5000 0.0000 0.0000  2 As 2.50
As 0.0000 0.0000 0.0000  2 Os 2.31, 4 Mg 2.50
Os 0.0000 0.5000 0.0000  2 As 2.31
Bi 0.5000 0.5000 0.5000  8 Mg 3.41, 4 Os 3.54

Summary:
Space-group type: P4/mmm
E, eV/atom: -4.16
E_form, eV per atom: 0.427
Calculated volume, Å³ per cell: 116

***

This record from the Alexandria database describes crystalline Mg2BiAsPb at its relaxed geometry. The functional is PBE-GGA.

a = 5.3790 Å, b = 5.7750 Å, c = 5.3790 Å
α = 90.00°, β = 90.00°, γ = 90.00°
Closest atoms and distances in Å follow each position.
Fractional coordinates of all 5 atoms:
Pb 0.5000 0.5000 0.5000  4 As 3.80, 8 Mg 3.95
As 0.0000 0.5000 0.0000  2 Bi 2.89
Mg 0.0000 0.0000 0.5000  2 Bi 2.69
Mg 0.5000 0.0000 0.0000  2 Bi 2.69
Bi 0.0000 0.0000 0.0000  4 Mg 2.69, 2 As 2.89

Summary:
Space-group type: P4/mmm
E, eV/atom: -2.58
E_form, eV per atom: 0.508
Calculated volume, Å³ per cell: 167

***

This record from the Alexandria database describes crystalline MgBi2As2Pd7 at its relaxed geometry. The functional is PBE-GGA.

a = 4.0501 Å, b = 4.0501 Å, c = 14.0236 Å
α = 84.67°, β = 84.67°, γ = 89.59°
Closest atoms and distances in Å follow each position.
Fractional coordinates of all 12 atoms:
Mg 0.0000 0.0000 0.0000  12 Pd 2.83-2.87
Bi 0.8755 0.8755 0.3833  5 Pd 2.80-3.01
Bi 0.1245 0.1245 0.6167  5 Pd 2.80-3.01
As 0.5784 0.5784 0.7548  5 Pd 2.48-2.54
As 0.4216 0.4216 0.2452  5 Pd 2.48-2.54
Pd 0.5000 0.5000 0.0000  8 Pd 2.83, 4 Mg 2.85-2.87
Pd 0.3496 0.3496 0.4275  1 As 2.54, 1 Bi 2.80, 1 Pd 2.84
Pd 0.6504 0.6504 0.5725  1 As 2.54, 1 Bi 2.80, 1 Pd 2.84
Pd 0.9543 0.4540 0.1423  2 As 2.48
Pd 0.4540 0.9543 0.1423  2 As 2.48
Pd 0.5460 0.0457 0.8577  2 As 2.48
Pd 0.0457 0.5460 0.8577  2 As 2.48

Summary:
Space-group type: C2/m
E, eV/atom: -4.94
E_form, eV per atom: -0.360
Calculated volume, Å³ per cell: 228

***

This record from the Alexandria database describes crystalline MgBi2AsS at its relaxed geometry. The functional is PBE-GGA.

a = 5.6453 Å, b = 4.8345 Å, c = 5.6453 Å
α = 90.00°, β = 90.00°, γ = 90.00°
Closest atoms and distances in Å follow each position.
Fractional coordinates of all 5 atoms:
S 0.5000 0.5000 0.5000  8 Bi 3.72, 4 Mg 3.99
As 0.0000 0.0000 0.0000  2 Mg 2.42
Mg 0.0000 0.5000 0.0000  2 As 2.42
Bi 0.0000 0.0000 0.5000  2 As 2.82
Bi 0.5000 0.0000 0.0000  2 As 2.82

Summary:
Space-group type: P4/mmm
E, eV/atom: -3.15
Calculated volume, Å³ per cell: 154
Formation energy from raw total energies, eV per atom: 0.4812

***

This record from the Alexandria database describes crystalline MgBiAsSe2 at its relaxed geometry. The functional is PBE-GGA.

a = 5.0187 Å, b = 5.0187 Å, c = 5.0619 Å
α = 90.00°, β = 90.00°, γ = 90.00°
Closest atoms and distances in Å follow each position.
Fractional coordinates of all 5 atoms:
Mg 0.0000 0.0000 0.0000  4 Se 2.51, 2 As 2.53
As 0.0000 0.0000 0.5000  2 Mg 2.53
Bi 0.5000 0.5000 0.5000  4 As 3.55, 8 Se 3.56
Se 0.0000 0.5000 0.0000  2 Mg 2.51
Se 0.5000 0.0000 0.0000  2 Mg 2.51

Summary:
Space-group type: P4/mmm
E, eV/atom: -3.25
Calculated volume, Å³ per cell: 127
Formation energy from raw total energies, eV per atom: 0.1691